[1]
A plane-wave DFT calculation with PBE-GGA was carried out for a relaxed structure of CdIn2CoBi.

Cell: 5.0227 5.0227 5.1067 Å, 90.00 90.00 90.00°
With the nearest neighbours (Å) after each atom.
Space group P4/mmm (No. 123)
Unique sites:
Cd: 0.0000 0.0000 0.0000 [1 per cell]  4 Bi 3.55, 8 In 3.58
In: 0.0000 0.5000 0.5000 [2 per cell]  2 Co 2.51
Co: 0.5000 0.5000 0.5000 [1 per cell]  4 In 2.51, 2 Bi 2.55
Bi: 0.5000 0.5000 0.0000 [1 per cell]  2 Co 2.55

Properties
M_tot	0.00	μB per formula unit
VASP energy	-16.62	eV/cell
energy of formation from the pure elements	14.6	kJ/mol of atoms
DOS(E_F)	4.3	states/eV/f.u.

[2]
A plane-wave DFT calculation with PBE-GGA was carried out for a relaxed structure of Rb2PdRuF6.

Cell: 6.3268 6.3268 8.6240 Å, 90.00 90.00 90.00°
With the nearest neighbours (Å) after each atom.
Space group I4/mmm (No. 139)
Unique sites:
Rb: 0.0000 0.5000 0.2500 [4 per cell]  12 F 3.11-3.17
Pd: 0.0000 0.0000 0.0000 [2 per cell]  6 F 2.26-2.45
Ru: 0.0000 0.0000 0.5000 [2 per cell]  6 F 2.03-2.05
F: 0.0000 0.0000 0.2623 [4 per cell]  1 Ru 2.05, 1 Pd 2.26
F: 0.2266 0.2266 0.5000 [8 per cell]  1 Ru 2.03

Properties
M_tot	2.00	μB per formula unit
VASP energy	-92.31	eV/cell
formation energy (no corrections)	-1852	meV per atom
DOS(E_F)	13.9	states/eV/f.u.

[3]
A plane-wave DFT calculation with PBE-GGA was carried out for a relaxed structure of BeZnSe2.

Cell: 7.9295 10.3190 6.0847 Å, 90.00 124.76 90.00°
With the nearest neighbours (Å) after each atom.
Space group C2/c (No. 15)
Unique sites:
Be: 0.0000 0.0052 0.2500 [4 per cell]  4 Se 2.25-2.26
Zn: 0.0000 0.2816 0.7500 [4 per cell]  4 Se 2.46-2.53
Se: 0.1752 0.1173 0.1241 [8 per cell]  2 Be 2.25-2.26, 1 Zn 2.46

Properties
M_tot	0.00	μB per formula unit
relative energy among the computed polymorphs	174	meV/atom
VASP energy	-57.02	eV/cell
formation energy (no corrections)	-571	meV per atom
DOS(E_F)	0.0	states/eV/f.u.

Number 1: calculated density 7.9 g/cm³. Number 2: calculated density 4.7 g/cm³. Number 3: calculated density 3.8 g/cm³.